! La3In4Rh4 (PBE-GGA, relaxed); values from VASP
! DOS at the Fermi energy (states/eV/atom): 0.5456
! Symmetry: Immm, No. 71
! Mass density (Mg/m³): 8.5
! Formation energy from the elements (eV/atom): -0.65
! Total DFT energy (no corrections) (eV/atom): -5.67
&SYSTEM
  ibrav = 0, nat = 11, ntyp = 3
/
ATOMIC_SPECIES
La 138.91 La.upf
In 114.82 In.upf
Rh 102.91 Rh.upf
CELL_PARAMETERS angstrom
4.010 0.000 0.000
0.000 8.190 0.000
-2.005 -4.095 7.663
ATOMIC_POSITIONS crystal
La 0.114 0.114 0.228
La 0.886 0.886 0.772
La 0.000 0.500 0.000
In 0.327 0.135 0.654
In 0.673 0.481 0.346
In 0.673 0.865 0.346
In 0.327 0.519 0.654
Rh 0.238 0.738 0.477
Rh 0.762 0.262 0.523
Rh 0.500 0.779 0.000
Rh 0.500 0.221 0.000